Compound: BaNbSb2
Source: Alexandria via LeMat-Bulk
Functional: PBE-GGA
Structure: relaxed

Summary:
Calculated density (g cm⁻³): 5.62
Volume (Å³ per cell): 280
SG: No. 122
Energy relative to the elements, uncorrected (eV/atom): -0.16
Total DFT energy (no corrections) (eV per atom): -5.224
Total magnetization (μB per formula unit): 1.021
Energy above the most stable polymorph in this dataset (kcal/mol of atoms): 0.000

Lattice parameters (Å, degrees): 7.1379 7.1379 7.1379 109.55 109.55 109.31
Fractional coordinates of all 8 atoms:
Ba 0.0000 0.0000 0.0000
Ba 0.7500 0.2500 0.5000
Nb 0.2500 0.7500 0.5000
Nb 0.5000 0.5000 0.0000
Sb 0.1955 0.6250 0.0705
Sb 0.3750 0.4455 0.5705
Sb 0.5545 0.1250 0.9295
Sb 0.8750 0.8045 0.4295